No. 1
# Tb3GaS6 (PBE-GGA, relaxed)
data_Tb3GaS6
_chemical_formula_sum 'Tb12 Ga4 S24'
_space_group_name_H-M_alt 'C m c 21'
_space_group_IT_number 36
_space_group_name_Hall 'C 2c -2'
_cell_length_a 10.732
_cell_length_b 13.373
_cell_length_c 6.499
_cell_angle_alpha 90.00
_cell_angle_beta 90.00
_cell_angle_gamma 90.00
loop_
_atom_site_label
_atom_site_type_symbol
_atom_site_fract_x
_atom_site_fract_y
_atom_site_fract_z
_atom_site_occupancy
Tb1 Tb 0.000 0.098 0.000 1
Tb2 Tb 0.185 0.401 0.089 1
Ga1 Ga 0.000 0.300 0.625 1
S1 S 0.000 0.283 0.275 1
S2 S 0.000 0.460 0.770 1
S3 S 0.162 0.029 0.294 1
S4 S 0.166 0.234 0.804 1
# Formation energy from raw total energies, eV/atom: -1.74

No. 2
# Tb4Ga2S (PBE-GGA, relaxed)
data_Tb4Ga2S
_chemical_formula_sum 'Tb8 Ga4 S2'
_space_group_name_H-M_alt 'C 1 2/m 1'
_space_group_IT_number 12
_space_group_name_Hall '-C 2y'
_cell_length_a 11.973
_cell_length_b 4.147
_cell_length_c 8.540
_cell_angle_alpha 90.00
_cell_angle_beta 124.48
_cell_angle_gamma 90.00
loop_
_atom_site_label
_atom_site_type_symbol
_atom_site_fract_x
_atom_site_fract_y
_atom_site_fract_z
_atom_site_occupancy
Tb1 Tb 0.086 0.000 0.371 1
Tb2 Tb 0.175 0.500 0.085 1
Ga1 Ga 0.122 0.500 0.663 1
S1 S 0.000 0.000 0.000 1
# Formation energy from raw total energies, eV/atom: -0.93

No. 3
# TbGaS3 (PBE-GGA, relaxed)
data_TbGaS3
_chemical_formula_sum 'Tb6 Ga6 S18'
_space_group_name_H-M_alt 'R -3'
_space_group_IT_number 148
_space_group_name_Hall '-R 3'
_cell_length_a 6.5733
_cell_length_b 6.5733
_cell_length_c 17.7595
_cell_angle_alpha 90.00
_cell_angle_beta 90.00
_cell_angle_gamma 120.00
loop_
_atom_site_label
_atom_site_type_symbol
_atom_site_fract_x
_atom_site_fract_y
_atom_site_fract_z
_atom_site_occupancy
Tb1 Tb 0.0000 0.0000 0.1446 1
Ga1 Ga 0.0000 0.0000 0.3447 1
S1 S 0.0169 0.6389 0.9220 1
# Formation energy from raw total energies, eV/atom: -1.21
# Energy relative to the lowest polymorph listed for this composition, eV/atom: 0.080

No. 4
# TbGaS2 (PBE-GGA, relaxed)
data_TbGaS2
_chemical_formula_sum 'Tb3 Ga3 S6'
_space_group_name_H-M_alt 'R -3 m'
_space_group_IT_number 166
_space_group_name_Hall '-R 3 2"'
_cell_length_a 3.9954
_cell_length_b 3.9954
_cell_length_c 21.1454
_cell_angle_alpha 90.00
_cell_angle_beta 90.00
_cell_angle_gamma 120.00
loop_
_atom_site_label
_atom_site_type_symbol
_atom_site_fract_x
_atom_site_fract_y
_atom_site_fract_z
_atom_site_occupancy
Tb1 Tb 0.0000 0.0000 0.0000 1
Ga1 Ga 0.0000 0.0000 0.5000 1
S1 S 0.0000 0.0000 0.2610 1
# Formation energy from raw total energies, eV/atom: -1.36

No. 5
# Tb5GaS4 (PBE-GGA, relaxed)
data_Tb5GaS4
_chemical_formula_sum 'Tb10 Ga2 S8'
_space_group_name_H-M_alt 'I 4/m'
_space_group_IT_number 87
_space_group_name_Hall '-I 4'
_cell_length_a 8.928
_cell_length_b 8.928
_cell_length_c 5.621
_cell_angle_alpha 90.00
_cell_angle_beta 90.00
_cell_angle_gamma 90.00
loop_
_atom_site_label
_atom_site_type_symbol
_atom_site_fract_x
_atom_site_fract_y
_atom_site_fract_z
_atom_site_occupancy
Tb1 Tb 0.000 0.000 0.000 1
Tb2 Tb 0.100 0.698 0.500 1
Ga1 Ga 0.000 0.000 0.500 1
S1 S 0.100 0.699 0.000 1
# Formation energy from raw total energies, eV/atom: -1.75

No. 6
# TbGa2S4 (PBE-GGA, relaxed)
data_TbGa2S4
_chemical_formula_sum 'Tb1 Ga2 S4'
_space_group_name_H-M_alt 'P -4 2 m'
_space_group_IT_number 111
_space_group_name_Hall 'P -4 2'
_cell_length_a 5.353
_cell_length_b 5.353
_cell_length_c 6.280
_cell_angle_alpha 90.00
_cell_angle_beta 90.00
_cell_angle_gamma 90.00
loop_
_atom_site_label
_atom_site_type_symbol
_atom_site_fract_x
_atom_site_fract_y
_atom_site_fract_z
_atom_site_occupancy
Tb1 Tb 0.000 0.000 0.000 1
Ga1 Ga 0.000 0.500 0.500 1
S1 S 0.265 0.265 0.274 1
# Formation energy from raw total energies, eV/atom: -0.91